Below is a geometry-optimized Y2ThTe4 structure, with properties calculated at the GGA-PBE level.

Output
DOS(E_F): 4.5 states/eV/f.u.

Unit cell a=4.3013 b=14.3221 c=14.9224 alpha=90.00 beta=90.00 gamma=90.00
Space group Cmcm (No. 63)
Unique sites:
1 Y 0.0000 0.1353 0.0660
2 Th 0.0000 0.3743 0.2500
3 Te 0.0000 0.0377 0.2500
4 Te 0.0000 0.2233 0.6237
5 Te 0.0000 0.5000 0.0000

=====

Below is a geometry-optimized Y2Th3Te8 structure, with properties calculated at the GGA-PBE level.

Output
DOS(E_F): 7.8 states/eV/f.u.

Unit cell a=15.7256 b=8.7864 c=7.4212 alpha=90.00 beta=106.70 gamma=90.00
Space group C2/m (No. 12)
Unique sites:
1 Y 0.2449 0.0000 0.3258
2 Th 0.0000 0.0000 0.5000
3 Th 0.0000 0.2483 0.0000
4 Te 0.1125 0.5000 0.8864
5 Te 0.1262 0.2535 0.4180
6 Te 0.1307 0.0000 0.9120

=====

Below is a geometry-optimized Y2Th2Te7 structure, with properties calculated at the GGA-PBE level.

Output
energy relative to the lowest polymorph listed for this composition: 0.147 eV/atom

Unit cell a=5.2885 b=5.2885 c=14.8418 alpha=90.00 beta=90.00 gamma=90.00
Space group P-4m2 (No. 115)
Unique sites:
1 Y 0.0000 0.5000 0.1361
2 Th 0.0000 0.5000 0.6279
3 Te 0.0000 0.0000 0.2328
4 Te 0.0000 0.0000 0.5000
5 Te 0.5000 0.5000 0.0000
6 Te 0.5000 0.5000 0.2529
7 Te 0.5000 0.5000 0.5000

=====

Below is a geometry-optimized YTh2Te4 structure, with properties calculated at the GGA-PBE level.

Output
DOS(E_F): 5.0 states/eV/f.u.

Unit cell a=4.1740 b=14.1452 c=15.9067 alpha=90.00 beta=90.00 gamma=90.00
Space group Cmcm (No. 63)
Unique sites:
1 Y 0.0000 0.1055 0.2500
2 Th 0.0000 0.3502 0.0624
3 Te 0.0000 0.0000 0.0000
4 Te 0.0000 0.2987 0.6328
5 Te 0.0000 0.4421 0.2500

=====

Below is a geometry-optimized Y2ThTe structure, with properties calculated at the GGA-PBE level.

Output
energy relative to the lowest polymorph listed for this composition: 0.086 eV/atom
DOS(E_F): 6.0 states/eV/f.u.

Unit cell a=3.8538 b=3.8538 c=29.7864 alpha=90.00 beta=90.00 gamma=120.00
Space group R3m (No. 160, hexagonal axes)
Unique sites:
1 Y 0.0000 0.0000 0.0000
2 Y 0.0000 0.0000 0.1914
3 Th 0.0000 0.0000 0.7626
4 Te 0.0000 0.0000 0.5957

=====

Below is a geometry-optimized Y2ThTe structure, with properties calculated at the GGA-PBE level.

Output
energy relative to the lowest polymorph listed for this composition: 0.000 eV/atom
DOS(E_F): 3.1 states/eV/f.u.

Unit cell a=3.8282 b=3.8282 c=8.1180 alpha=90.00 beta=90.00 gamma=90.00
Space group P4/mmm (No. 123)
Unique sites:
1 Y 0.0000 0.0000 0.2244
2 Th 0.5000 0.5000 0.5000
3 Te 0.5000 0.5000 0.0000

=====

Short version: total DFT energy (no corrections) = -5.95 -5.80 -5.65 -5.98 -6.36 -6.45 eV per atom, in the order given.